# RbScCd2

A PBEsol-optimized structure of RbScCd2 (SCAN, Alexandria via LeMat-Bulk).

Cell lengths 5.390, 5.390, 5.390 Å; angles 60.00, 60.00, 60.00 degrees
Positions (direct):
Sc 0.000 0.000 0.000
Rb 0.500 0.500 0.500
Cd 0.250 0.250 0.250
Cd 0.750 0.750 0.750

## Properties
- Total energy: -23.71 eV per atom
- Formation energy: 23 kJ/mol of atoms